--- w ---
! SnAsC2, single point on PBEsol structure, DFT meta-GGA SCAN; values from VASP
&SYSTEM
  ibrav = 0, nat = 16, ntyp = 3
/
ATOMIC_SPECIES
Sn 118.71 Sn.upf
As 74.92 As.upf
C 12.01 C.upf
CELL_PARAMETERS angstrom
5.899 0.000 0.000
0.000 5.899 0.000
0.000 0.000 5.899
ATOMIC_POSITIONS crystal
Sn 0.000 0.000 0.000
Sn 0.000 0.500 0.500
Sn 0.500 0.000 0.500
Sn 0.500 0.500 0.000
As 0.000 0.000 0.500
As 0.000 0.500 0.000
As 0.500 0.000 0.000
As 0.500 0.500 0.500
C 0.250 0.250 0.250
C 0.250 0.250 0.750
C 0.250 0.750 0.250
C 0.250 0.750 0.750
C 0.750 0.250 0.250
C 0.750 0.250 0.750
C 0.750 0.750 0.250
C 0.750 0.750 0.750
! - symmetry = Fm-3m (225)
! - crystal system = cubic



--- x ---
! SnAsC2, single point on PBEsol structure, DFT meta-GGA SCAN; values from VASP
&SYSTEM
  ibrav = 0, nat = 16, ntyp = 3
/
ATOMIC_SPECIES
Sn 118.71 Sn.upf
As 74.92 As.upf
C 12.01 C.upf
CELL_PARAMETERS angstrom
4.878 0.000 0.000
0.000 4.878 0.000
0.000 0.000 9.776
ATOMIC_POSITIONS crystal
Sn 0.000 0.000 0.000
Sn 0.000 0.500 0.250
Sn 0.500 0.000 0.750
Sn 0.500 0.500 0.500
As 0.000 0.000 0.500
As 0.000 0.500 0.750
As 0.500 0.000 0.250
As 0.500 0.500 0.000
C 0.218 0.250 0.625
C 0.250 0.718 0.875
C 0.250 0.782 0.375
C 0.282 0.250 0.125
C 0.718 0.750 0.125
C 0.750 0.218 0.375
C 0.750 0.282 0.875
C 0.782 0.750 0.625
! - symmetry = I-42d (122)
! - crystal system = tetragonal



Unit: meV per atom. Relative energies: w 1137; x 0.



--- w ---
! Ca3As, single point on PBEsol structure, DFT meta-GGA SCAN; values from VASP
&SYSTEM
  ibrav = 0, nat = 16, ntyp = 2
/
ATOMIC_SPECIES
Ca 40.08 Ca.upf
As 74.92 As.upf
CELL_PARAMETERS angstrom
4.628 0.000 0.000
0.000 4.628 0.000
0.000 0.000 21.585
ATOMIC_POSITIONS crystal
Ca 0.000 0.000 0.120
Ca 0.000 0.000 0.880
Ca 0.000 0.500 0.000
Ca 0.000 0.500 0.250
Ca 0.000 0.500 0.500
Ca 0.000 0.500 0.750
Ca 0.500 0.000 0.000
Ca 0.500 0.000 0.250
Ca 0.500 0.000 0.500
Ca 0.500 0.000 0.750
Ca 0.500 0.500 0.380
Ca 0.500 0.500 0.620
As 0.000 0.000 0.399
As 0.000 0.000 0.601
As 0.500 0.500 0.101
As 0.500 0.500 0.899
! - symmetry = I4/mmm (139)
! - crystal system = tetragonal



--- x ---
! Ca3As, single point on PBEsol structure, DFT meta-GGA SCAN; values from VASP
&SYSTEM
  ibrav = 0, nat = 4, ntyp = 2
/
ATOMIC_SPECIES
Ca 40.08 Ca.upf
As 74.92 As.upf
CELL_PARAMETERS angstrom
4.219 0.000 0.000
0.000 4.193 0.000
-1.041 0.000 6.808
ATOMIC_POSITIONS crystal
Ca 0.000 0.000 0.000
Ca 0.403 0.500 0.709
Ca 0.597 0.500 0.291
As 0.000 0.000 0.500
! - symmetry = P2/m (10)
! - crystal system = monoclinic



--- y ---
! Ca3As, single point on PBEsol structure, DFT meta-GGA SCAN; values from VASP
&SYSTEM
  ibrav = 0, nat = 8, ntyp = 2
/
ATOMIC_SPECIES
Ca 40.08 Ca.upf
As 74.92 As.upf
CELL_PARAMETERS angstrom
4.008 0.000 0.000
0.000 6.760 0.000
0.000 0.000 9.534
ATOMIC_POSITIONS crystal
Ca 0.250 0.010 0.171
Ca 0.250 0.250 0.545
Ca 0.250 0.490 0.171
Ca 0.750 0.510 0.829
Ca 0.750 0.750 0.455
Ca 0.750 0.990 0.829
As 0.250 0.750 0.673
As 0.750 0.250 0.327
! - symmetry = Pmmn (59)
! - crystal system = orthorhombic



Unit: meV per atom. Relative energies: w 158; x 128; y 0.



--- w ---
! Ca2CdAs, single point on PBEsol structure, DFT meta-GGA SCAN; values from VASP
&SYSTEM
  ibrav = 0, nat = 16, ntyp = 3
/
ATOMIC_SPECIES
Ca 40.08 Ca.upf
Cd 112.41 Cd.upf
As 74.92 As.upf
CELL_PARAMETERS angstrom
7.424 0.000 0.000
0.000 7.424 0.000
0.000 0.000 7.424
ATOMIC_POSITIONS crystal
Ca 0.000 0.000 0.000
Ca 0.000 0.500 0.500
Ca 0.250 0.250 0.250
Ca 0.250 0.750 0.750
Ca 0.500 0.000 0.500
Ca 0.500 0.500 0.000
Ca 0.750 0.250 0.750
Ca 0.750 0.750 0.250
Cd 0.000 0.000 0.500
Cd 0.000 0.500 0.000
Cd 0.500 0.000 0.000
Cd 0.500 0.500 0.500
As 0.250 0.250 0.750
As 0.250 0.750 0.250
As 0.750 0.250 0.250
As 0.750 0.750 0.750
! - symmetry = F-43m (216)
! - crystal system = cubic



--- x ---
! Ca2CdAs, single point on PBEsol structure, DFT meta-GGA SCAN; values from VASP
&SYSTEM
  ibrav = 0, nat = 8, ntyp = 3
/
ATOMIC_SPECIES
Ca 40.08 Ca.upf
Cd 112.41 Cd.upf
As 74.92 As.upf
CELL_PARAMETERS angstrom
5.215 0.000 0.000
0.000 5.215 0.000
0.000 0.000 7.264
ATOMIC_POSITIONS crystal
Ca 0.000 0.500 0.250
Ca 0.000 0.500 0.750
Ca 0.500 0.000 0.250
Ca 0.500 0.000 0.750
Cd 0.000 0.000 0.000
Cd 0.500 0.500 0.500
As 0.000 0.000 0.500
As 0.500 0.500 0.000
! - symmetry = I4/mmm (139)
! - crystal system = tetragonal



Unit: meV per atom. Relative energies: w 480; x 0.



--- w ---
! CaCdAs, single point on PBEsol structure, DFT meta-GGA SCAN; values from VASP
&SYSTEM
  ibrav = 0, nat = 12, ntyp = 3
/
ATOMIC_SPECIES
Ca 40.08 Ca.upf
Cd 112.41 Cd.upf
As 74.92 As.upf
CELL_PARAMETERS angstrom
6.755 0.000 0.000
0.000 6.755 0.000
0.000 0.000 6.755
ATOMIC_POSITIONS crystal
Ca 0.000 0.000 0.000
Ca 0.000 0.500 0.500
Ca 0.500 0.000 0.500
Ca 0.500 0.500 0.000
Cd 0.000 0.000 0.500
Cd 0.000 0.500 0.000
Cd 0.500 0.000 0.000
Cd 0.500 0.500 0.500
As 0.250 0.250 0.750
As 0.250 0.750 0.250
As 0.750 0.250 0.250
As 0.750 0.750 0.750
! - symmetry = F-43m (216)
! - crystal system = cubic



--- x ---
! CaCdAs, single point on PBEsol structure, DFT meta-GGA SCAN; values from VASP
&SYSTEM
  ibrav = 0, nat = 12, ntyp = 3
/
ATOMIC_SPECIES
Ca 40.08 Ca.upf
Cd 112.41 Cd.upf
As 74.92 As.upf
CELL_PARAMETERS angstrom
6.797 0.000 0.000
0.000 6.797 0.000
0.000 0.000 6.797
ATOMIC_POSITIONS crystal
Ca 0.000 0.000 0.000
Ca 0.000 0.500 0.500
Ca 0.500 0.000 0.500
Ca 0.500 0.500 0.000
Cd 0.250 0.250 0.250
Cd 0.250 0.750 0.750
Cd 0.750 0.250 0.750
Cd 0.750 0.750 0.250
As 0.250 0.250 0.750
As 0.250 0.750 0.250
As 0.750 0.250 0.250
As 0.750 0.750 0.750
! - symmetry = F-43m (216)
! - crystal system = cubic



Unit: meV per atom. Relative energies: w 0; x 214.



--- w ---
! CaAsCl2, single point on PBEsol structure, DFT meta-GGA SCAN; values from VASP
&SYSTEM
  ibrav = 0, nat = 4, ntyp = 3
/
ATOMIC_SPECIES
Ca 40.08 Ca.upf
As 74.92 As.upf
Cl 35.45 Cl.upf
CELL_PARAMETERS angstrom
3.579 0.000 0.000
0.000 5.487 0.000
0.000 0.000 5.174
ATOMIC_POSITIONS crystal
Ca 0.000 0.000 0.000
As 0.500 0.500 0.000
Cl 0.000 0.000 0.505
Cl 0.500 0.500 0.425
! - symmetry = Pmm2 (25)
! - crystal system = orthorhombic



--- x ---
! CaAsCl2, single point on PBEsol structure, DFT meta-GGA SCAN; values from VASP
&SYSTEM
  ibrav = 0, nat = 4, ntyp = 3
/
ATOMIC_SPECIES
Ca 40.08 Ca.upf
As 74.92 As.upf
Cl 35.45 Cl.upf
CELL_PARAMETERS angstrom
3.446 0.000 0.000
0.000 4.312 0.000
0.000 0.000 5.702
ATOMIC_POSITIONS crystal
Ca 0.000 0.000 0.000
As 0.500 0.000 0.500
Cl 0.000 0.500 0.500
Cl 0.500 0.500 0.000
! - symmetry = Pmmm (47)
! - crystal system = orthorhombic



Unit: meV per atom. Relative energies: w 47; x 0.



--- w ---
! CaCrAs2, single point on PBEsol structure, DFT meta-GGA SCAN; values from VASP
&SYSTEM
  ibrav = 0, nat = 16, ntyp = 3
/
ATOMIC_SPECIES
Ca 40.08 Ca.upf
Cr 52.00 Cr.upf
As 74.92 As.upf
CELL_PARAMETERS angstrom
6.685 0.000 0.000
0.000 6.685 0.000
0.000 0.000 6.685
ATOMIC_POSITIONS crystal
Ca 0.000 0.000 0.000
Ca 0.000 0.500 0.500
Ca 0.500 0.000 0.500
Ca 0.500 0.500 0.000
Cr 0.000 0.000 0.500
Cr 0.000 0.500 0.000
Cr 0.500 0.000 0.000
Cr 0.500 0.500 0.500
As 0.250 0.250 0.250
As 0.250 0.250 0.750
As 0.250 0.750 0.250
As 0.250 0.750 0.750
As 0.750 0.250 0.250
As 0.750 0.250 0.750
As 0.750 0.750 0.250
As 0.750 0.750 0.750
! - symmetry = Fm-3m (225)
! - crystal system = cubic



--- x ---
! CaCrAs2, single point on PBEsol structure, DFT meta-GGA SCAN; values from VASP
&SYSTEM
  ibrav = 0, nat = 4, ntyp = 3
/
ATOMIC_SPECIES
Ca 40.08 Ca.upf
Cr 52.00 Cr.upf
As 74.92 As.upf
CELL_PARAMETERS angstrom
4.500 0.000 0.000
0.000 4.500 0.000
0.000 0.000 3.779
ATOMIC_POSITIONS crystal
Ca 0.000 0.000 0.000
Cr 0.500 0.500 0.000
As 0.000 0.500 0.500
As 0.500 0.000 0.500
! - symmetry = P4/mmm (123)
! - crystal system = tetragonal



Unit: meV per atom. Relative energies: w 13; x 0.